*1*
4
Lattice="1.694 0.978 11.133 -1.694 0.978 11.133 0.000 -1.956 11.133" Properties=species:S:1:pos:R:3 comment="GGA-PBE CePr2Tc, optimized geometry" magnetic_moment_mub_per_cell=0.6 crystal_system=trigonal density_g_cm3=7.80 pbc="T T T"
Ce 0.000 0.000 0.000
Pr 0.000 0.000 14.129
Pr 0.000 0.000 19.269
Tc 0.000 0.000 16.699

*2*
16
Lattice="7.243 0.000 0.000 0.000 10.144 0.000 0.000 0.000 6.467" Properties=species:S:1:pos:R:3 comment="GGA-PBE CePr2Tc, optimized geometry" magnetic_moment_mub_per_cell=0.0 crystal_system=orthorhombic density_g_cm3=7.27 pbc="T T T"
Ce 0.416 2.536 1.014
Ce 3.205 7.608 4.248
Ce 4.037 2.536 2.219
Ce 6.827 7.608 5.453
Pr 1.256 0.671 4.371
Pr 1.256 4.401 4.371
Pr 2.366 5.742 1.137
Pr 2.366 9.473 1.137
Pr 4.877 0.671 5.330
Pr 4.877 4.401 5.330
Pr 5.987 5.742 2.096
Pr 5.987 9.473 2.096
Tc 0.979 7.608 3.345
Tc 2.643 2.536 0.111
Tc 4.600 7.608 6.356
Tc 6.264 2.536 3.122

Most stable: *2*. Least stable: *1*.